{"formula": "NaErCoSe3", "functional": "PBE", "state": "optimized geometry", "cell": [[1.9680, -6.7764, 0.0000], [1.9680, 6.7764, 0.0000], [0.0000, 0.0000, 10.3583]], "species": ["Na", "Na", "Er", "Er", "Co", "Co", "Se", "Se", "Se", "Se", "Se", "Se"], "fractional_positions": [[0.2464, 0.7536, 0.7500], [0.7536, 0.2464, 0.2500], [0.0000, 0.0000, 0.0000], [0.0000, 0.0000, 0.5000], [0.4864, 0.5136, 0.2500], [0.5136, 0.4864, 0.7500], [0.0822, 0.9178, 0.2500], [0.3660, 0.6340, 0.0848], [0.3660, 0.6340, 0.4152], [0.6340, 0.3660, 0.5848], [0.6340, 0.3660, 0.9152], [0.9178, 0.0822, 0.7500]], "dft_energy_ev_per_atom": -4.966, "m_tot_mub_per_cell": 4.5}


{"formula": "NaErCoTe3", "functional": "PBE", "state": "optimized geometry", "cell": [[2.0627, -7.4638, 0.0000], [2.0627, 7.4638, 0.0000], [0.0000, 0.0000, 11.0180]], "species": ["Na", "Na", "Er", "Er", "Co", "Co", "Te", "Te", "Te", "Te", "Te", "Te"], "fractional_positions": [[0.2425, 0.7575, 0.7500], [0.7575, 0.2425, 0.2500], [0.0000, 0.0000, 0.0000], [0.0000, 0.0000, 0.5000], [0.4776, 0.5224, 0.2500], [0.5224, 0.4776, 0.7500], [0.0834, 0.9166, 0.2500], [0.3636, 0.6364, 0.0750], [0.3636, 0.6364, 0.4250], [0.6364, 0.3636, 0.5750], [0.6364, 0.3636, 0.9250], [0.9166, 0.0834, 0.7500]], "dft_energy_ev_per_atom": -4.482, "m_tot_mub_per_cell": 4.6}


{"formula": "ErNbCo", "functional": "PBE", "state": "optimized geometry", "cell": [[0.0000, 3.1055, 3.1055], [3.1055, 0.0000, 3.1055], [3.1055, 3.1055, 0.0000]], "species": ["Er", "Nb", "Co"], "fractional_positions": [[0.0000, 0.0000, 0.0000], [0.7500, 0.7500, 0.7500], [0.5000, 0.5000, 0.5000]], "dft_energy_ev_per_atom": -6.459, "m_tot_mub_per_cell": 0.0}


{"formula": "Pr2Nd3ErCoTe2", "functional": "PBE", "state": "optimized geometry", "cell": [[3.9871, 0.0000, 0.0000], [0.0000, 7.4260, 4.3255], [0.0000, -7.4260, 4.3255]], "species": ["Pr", "Pr", "Nd", "Nd", "Nd", "Er", "Co", "Te", "Te"], "fractional_positions": [[0.0000, 0.1185, 0.8815], [0.0000, 0.8815, 0.1185], [0.5000, 0.1170, 0.5248], [0.5000, 0.5248, 0.1170], [0.5000, 0.7051, 0.7051], [0.0000, 0.3512, 0.3512], [0.5000, 0.1316, 0.1316], [0.0000, 0.4498, 0.7779], [0.0000, 0.7779, 0.4498]], "dft_energy_ev_per_atom": -5.324, "m_tot_mub_per_cell": 0.0}


{"formula": "Nd3Y2ErCoS2", "functional": "PBE", "state": "optimized geometry", "cell": [[3.8652, 0.0000, 0.0000], [0.0000, 6.9601, 4.0292], [0.0000, -6.9601, 4.0292]], "species": ["Nd", "Nd", "Nd", "Y", "Y", "Er", "Co", "S", "S"], "fractional_positions": [[0.0000, 0.0000, 0.0000], [0.0000, 0.4229, 0.8400], [0.0000, 0.8400, 0.4229], [0.5000, 0.1787, 0.4203], [0.5000, 0.4203, 0.1787], [0.5000, 0.6620, 0.6620], [0.0000, 0.4301, 0.4301], [0.5000, 0.0893, 0.7550], [0.5000, 0.7550, 0.0893]], "dft_energy_ev_per_atom": -6.030, "m_tot_mub_per_cell": 0.1}


{"formula": "Nd3Y2ErCoSe2", "functional": "PBE", "state": "optimized geometry", "cell": [[3.9163, 0.0000, 0.0000], [0.0000, 7.0981, 4.1176], [0.0000, -7.0981, 4.1176]], "species": ["Nd", "Nd", "Nd", "Y", "Y", "Er", "Co", "Se", "Se"], "fractional_positions": [[0.0000, 0.0000, 0.0000], [0.0000, 0.4168, 0.8268], [0.0000, 0.8268, 0.4168], [0.5000, 0.1759, 0.4140], [0.5000, 0.4140, 0.1759], [0.5000, 0.6511, 0.6511], [0.0000, 0.4237, 0.4237], [0.5000, 0.0827, 0.7487], [0.5000, 0.7487, 0.0827]], "dft_energy_ev_per_atom": -5.891, "m_tot_mub_per_cell": 0.1}


{"formula": "NdErCo2Si2", "functional": "PBE", "state": "optimized geometry", "cell": [[3.9806, 0.0000, 0.0000], [0.0000, 3.9806, 0.0000], [0.0000, 0.0000, 6.8459]], "species": ["Nd", "Er", "Co", "Co", "Si", "Si"], "fractional_positions": [[0.0000, 0.0000, 0.0000], [0.5000, 0.5000, 0.3702], [0.0000, 0.5000, 0.6680], [0.5000, 0.0000, 0.6680], [0.0000, 0.0000, 0.4886], [0.5000, 0.5000, 0.8444]], "dft_energy_ev_per_atom": -6.446, "m_tot_mub_per_cell": 0.6}


{"formula": "NdErCo2Si4", "functional": "PBE", "state": "optimized geometry", "cell": [[3.9904, 0.0000, 0.0000], [0.0000, 2.0285, 8.1398], [0.0000, -2.0285, 8.1398]], "species": ["Nd", "Er", "Co", "Co", "Si", "Si", "Si", "Si"], "fractional_positions": [[0.0000, 0.0000, 0.0000], [0.5000, 0.7847, 0.7847], [0.0000, 0.2142, 0.2142], [0.5000, 0.5737, 0.5737], [0.0000, 0.3489, 0.3489], [0.0000, 0.6456, 0.6456], [0.5000, 0.1450, 0.1450], [0.5000, 0.4347, 0.4347]], "dft_energy_ev_per_atom": -6.413, "m_tot_mub_per_cell": 0.0}